[1]
Density functional theory data (PBE-GGA) for Li2ZnIr after structural relaxation.

Lattice parameters (Å, degrees): 2.6865 2.6865 27.2397 90.00 90.00 120.00
With the nearest neighbours (Å) after each atom.
Space group R-3m (No. 166, hexagonal axes)
Asymmetric unit:
Li: 0.0000 0.0000 0.2460  3 Ir 2.66, 6 Li 2.69, 3 Zn 2.84
Zn: 0.0000 0.0000 0.0000  6 Zn 2.69, 6 Li 2.84
Ir: 0.0000 0.0000 0.5000  6 Li 2.66, 6 Ir 2.69

## Properties
* size of the total moment: 0.00 μB per formula unit
* DFT formation energy: -0.80 eV per formula unit

***

[2]
Density functional theory data (PBE-GGA) for Li12ZnIr6 after structural relaxation.

Lattice parameters (Å, degrees): 9.6905 9.6905 9.8328 90.00 90.00 120.00
With the nearest neighbours (Å) after each atom.
Space group R-3m (No. 166, hexagonal axes)
Asymmetric unit:
Li: 0.0000 0.2605 0.0000  6 Li 2.52-2.81, 1 Zn 2.52, 4 Ir 2.53-2.59
Li: 0.0662 0.5331 0.1073  5 Li 2.38-2.61
Zn: 0.0000 0.0000 0.0000  6 Li 2.52, 6 Ir 2.65
Ir: 0.0904 0.1809 0.7797  4 Li 2.53-2.59, 3 Ir 2.63-2.77, 1 Zn 2.65

## Properties
* size of the total moment: 1.50 μB per formula unit
* DFT formation energy: -0.62 eV per formula unit

***

[3]
Density functional theory data (PBE-GGA) for Li2ZnIr2 after structural relaxation.

Lattice parameters (Å, degrees): 5.6271 5.6271 3.8362 90.00 90.00 90.00
With the nearest neighbours (Å) after each atom.
Space group P4/mbm (No. 127)
Asymmetric unit:
Li: 0.1216 0.3784 0.0000  1 Li 1.93
Zn: 0.0000 0.0000 0.0000  4 Li 2.24
Ir: 0.1825 0.6825 0.5000  6 Li 2.47-2.59

## Properties
* size of the total moment: 0.00 μB per formula unit
* polymorph energy (0 for the lowest one): 132 meV/atom
* DFT formation energy: 0.06 eV per formula unit

***

[4]
Density functional theory data (PBE-GGA) for LiZn2Ir after structural relaxation.

Lattice parameters (Å, degrees): 2.7736 2.7736 26.3508 90.00 90.00 120.00
With the nearest neighbours (Å) after each atom.
Space group R-3m (No. 166, hexagonal axes)
Asymmetric unit:
Li: 0.0000 0.0000 0.0000  6 Zn 2.75, 6 Li 2.77
Zn: 0.0000 0.0000 0.2484  3 Ir 2.68, 3 Li 2.75, 6 Zn 2.77
Ir: 0.0000 0.0000 0.5000  6 Zn 2.68, 6 Ir 2.77

## Properties
* size of the total moment: 0.08 μB per formula unit
* polymorph energy (0 for the lowest one): 204 meV/atom
* DFT formation energy: -0.53 eV per formula unit

***

[5]
Density functional theory data (PBE-GGA) for LiZn2Ir after structural relaxation.

Lattice parameters (Å, degrees): 3.7626 3.7626 7.7017 90.00 90.00 90.00
With the nearest neighbours (Å) after each atom.
Space group I-4m2 (No. 119)
Asymmetric unit:
Li: 0.0000 0.0000 0.0000  8 Zn 2.66-2.69, 4 Ir 2.69
Zn: 0.0000 0.0000 0.5000  4 Li 2.66, 4 Ir 2.69, 4 Zn 2.69
Zn: 0.0000 0.5000 0.7500  4 Ir 2.66, 4 Li 2.69, 4 Zn 2.69
Ir: 0.0000 0.5000 0.2500  8 Zn 2.66-2.69, 4 Li 2.69

## Properties
* size of the total moment: 0.00 μB per formula unit
* polymorph energy (0 for the lowest one): 103 meV/atom
* DFT formation energy: -0.94 eV per formula unit

***

[6]
Density functional theory data (PBE-GGA) for Li4Zn5Ir2 after structural relaxation.

Lattice parameters (Å, degrees): 8.8671 5.3429 6.8004 90.00 90.65 90.00
With the nearest neighbours (Å) after each atom.
Space group C2/m (No. 12)
Asymmetric unit:
Li: 0.1381 0.0000 0.3667  1 Li 2.47, 6 Zn 2.53-2.63, 2 Ir 2.68
Li: 0.1813 0.0000 0.0078  1 Li 2.47, 2 Zn 2.68
Zn: 0.0000 0.5000 0.0000  2 Ir 2.54, 4 Zn 2.76, 2 Li 2.83
Zn: 0.1138 0.2540 0.6780  4 Li 2.53-2.68, 3 Ir 2.58-2.73, 3 Zn 2.63-2.76
Ir: 0.1392 0.5000 0.3282  7 Zn 2.54-2.73, 3 Li 2.68-2.80

## Properties
* size of the total moment: 0.00 μB per formula unit
* DFT formation energy: -2.62 eV per formula unit

***

[7]
Density functional theory data (PBE-GGA) for Li2ZnIr after structural relaxation.

Lattice parameters (Å, degrees): 3.6755 3.6755 8.0149 90.00 90.00 90.00
With the nearest neighbours (Å) after each atom.
Space group I4/mmm (No. 139)
Asymmetric unit:
Li: 0.0000 0.5000 0.2500  4 Li 2.60, 4 Ir 2.72, 4 Zn 2.72
Zn: 0.0000 0.0000 0.0000  4 Ir 2.60, 8 Li 2.72
Ir: 0.0000 0.0000 0.5000  4 Zn 2.60, 8 Li 2.72

## Properties
* size of the total moment: 0.00 μB per formula unit
* DFT formation energy: -0.74 eV per formula unit

***

[8]
Density functional theory data (PBE-GGA) for LiZn2Ir after structural relaxation.

Lattice parameters (Å, degrees): 2.8940 4.5809 8.7984 90.00 90.00 90.00
With the nearest neighbours (Å) after each atom.
Space group Cmmm (No. 65)
Asymmetric unit:
Li: 0.0000 0.0000 0.0000  4 Zn 2.64, 6 Li 2.71-2.89
Zn: 0.0000 0.5000 0.2513  2 Ir 2.62, 2 Li 2.64, 6 Zn 2.71-2.89
Ir: 0.0000 0.0000 0.5000  4 Zn 2.62, 6 Ir 2.71-2.89

## Properties
* size of the total moment: 0.00 μB per formula unit
* polymorph energy (0 for the lowest one): 238 meV/atom
* DFT formation energy: -0.40 eV per formula unit

***

[9]
Density functional theory data (PBE-GGA) for Li2ZnIr2 after structural relaxation.

Lattice parameters (Å, degrees): 6.8136 6.8136 2.9821 90.00 90.00 90.00
With the nearest neighbours (Å) after each atom.
Space group P4/mbm (No. 127)
Asymmetric unit:
Li: 0.1674 0.3326 0.0000  6 Ir 2.46-2.53
Zn: 0.0000 0.0000 0.5000  4 Ir 2.67, 8 Li 2.94, 2 Zn 2.98
Ir: 0.1300 0.6300 0.5000  6 Li 2.46-2.53, 1 Ir 2.51, 2 Zn 2.67

## Properties
* size of the total moment: 0.01 μB per formula unit
* polymorph energy (0 for the lowest one): 239 meV/atom
* DFT formation energy: 0.59 eV per formula unit

***

[10]
Density functional theory data (PBE-GGA) for Li2ZnIr after structural relaxation.

Lattice parameters (Å, degrees): 6.7954 6.7954 4.9664 90.00 90.00 90.00
With the nearest neighbours (Å) after each atom.
Space group I-42d (No. 122)
Asymmetric unit:
Li: 0.2454 0.2500 0.1250  2 Zn 2.46, 2 Li 2.48, 2 Ir 2.50
Zn: 0.0000 0.0000 0.0000  4 Li 2.46, 2 Ir 2.48
Ir: 0.0000 0.0000 0.5000  2 Zn 2.48, 4 Li 2.50

## Properties
* size of the total moment: 0.00 μB per formula unit
* DFT formation energy: 0.45 eV per formula unit

***

[11]
Density functional theory data (PBE-GGA) for Li2ZnIr after structural relaxation.

Lattice parameters (Å, degrees): 8.9291 2.5833 4.9024 90.00 95.68 90.00
With the nearest neighbours (Å) after each atom.
Space group Cm (No. 8)
Asymmetric unit:
Li: 0.0000 0.0000 0.0000  5 Li 2.56-2.85, 3 Ir 2.68-2.73, 4 Zn 2.68-2.87
Li: 0.2376 0.0000 0.7477  5 Li 2.56-2.85, 3 Zn 2.72-2.79, 4 Ir 2.77
Zn: 0.4893 0.0000 0.4768  2 Zn 2.58, 3 Ir 2.65-2.67, 7 Li 2.68-2.87
Ir: 0.2465 0.5000 0.2497  2 Ir 2.58, 3 Zn 2.65-2.67, 7 Li 2.68-2.77

## Properties
* size of the total moment: 0.00 μB per formula unit
* DFT formation energy: -0.66 eV per formula unit

***

[12]
Density functional theory data (PBE-GGA) for LiZn2Ir after structural relaxation.

Lattice parameters (Å, degrees): 6.0509 6.0509 6.0509 90.00 90.00 90.00
With the nearest neighbours (Å) after each atom.
Space group Fm-3m (No. 225)
Asymmetric unit:
Li: 0.0000 0.0000 0.0000  8 Zn 2.62
Zn: 0.2500 0.2500 0.2500  4 Li 2.62, 4 Ir 2.62
Ir: 0.0000 0.0000 0.5000  8 Zn 2.62

## Properties
* size of the total moment: 0.00 μB per formula unit
* polymorph energy (0 for the lowest one): 0 meV/atom
* DFT formation energy: -1.35 eV per formula unit